LaPr2HoIn4: relaxed, GGA-PBE.

N(E_F)   4.1 states/eV per cell
Size of the total moment   0.000 μB/atom
ΔE_f   -0.48 eV/atom
Symmetry   R-3m

Geometry as POSCAR:
```
LaPr2HoIn4
1.0
2.7385 1.5811 8.9895
-2.7385 1.5811 8.9895
0.0000 -3.1621 8.9895
La Pr Ho In
1 2 1 4
Direct
0.0000 0.0000 0.0000 La
0.2491 0.2491 0.2491 Pr
0.7509 0.7509 0.7509 Pr
0.5000 0.5000 0.5000 Ho
0.1269 0.1269 0.1269 In
0.3772 0.3772 0.3772 In
0.6228 0.6228 0.6228 In
0.8731 0.8731 0.8731 In
```


Sm5TmTl5: relaxed, GGA-PBE.

N(E_F)   12.4 states/eV per cell
Size of the total moment   0.000 μB/atom
ΔE_f   -0.14 eV/atom
Symmetry   C2/m

Geometry as POSCAR:
```
Sm5TmTl5
1.0
8.9587 -2.8860 0.0000
8.9587 2.8860 0.0000
-2.8041 0.0000 6.5643
Sm Tm Tl
5 1 5
Direct
0.0000 0.0000 0.0000 Sm
0.3109 0.3109 0.3081 Sm
0.3628 0.3628 0.8589 Sm
0.6372 0.6372 0.1411 Sm
0.6891 0.6891 0.6919 Sm
0.0000 0.0000 0.5000 Tm
0.1614 0.1614 0.4341 Tl
0.1611 0.1611 0.8883 Tl
0.5000 0.5000 0.5000 Tl
0.8389 0.8389 0.1117 Tl
0.8386 0.8386 0.5659 Tl
```


LiNdSmY: relaxed, GGA-PBE.

N(E_F)   18.4 states/eV per cell
Size of the total moment   0.000 μB/atom
ΔE_f   0.19 eV/atom
Symmetry   F-43m

Geometry as POSCAR:
```
LiNdSmY
1.0
7.9106 0.0000 0.0000
0.0000 7.9106 0.0000
0.0000 0.0000 7.9106
Li Nd Sm Y
4 4 4 4
Direct
0.0000 0.0000 0.0000 Li
0.0000 0.5000 0.5000 Li
0.5000 0.0000 0.5000 Li
0.5000 0.5000 0.0000 Li
0.2500 0.2500 0.2500 Nd
0.2500 0.7500 0.7500 Nd
0.7500 0.2500 0.7500 Nd
0.7500 0.7500 0.2500 Nd
0.0000 0.0000 0.5000 Sm
0.0000 0.5000 0.0000 Sm
0.5000 0.0000 0.0000 Sm
0.5000 0.5000 0.5000 Sm
0.2500 0.2500 0.7500 Y
0.2500 0.7500 0.2500 Y
0.7500 0.2500 0.2500 Y
0.7500 0.7500 0.7500 Y
```


Fe9Ni4Rh11: relaxed, GGA-PBE.

N(E_F)   31.8 states/eV per cell
Size of the total moment   0.183 μB/atom
ΔE_f   0.00 eV/atom
Symmetry   Cmmm

Geometry as POSCAR:
```
Fe9Ni4Rh11
1.0
7.3260 -7.9782 0.0000
7.3260 7.9782 0.0000
0.0000 0.0000 2.6825
Fe Ni Rh
9 4 11
Direct
0.0000 0.0000 0.0000 Fe
0.1140 0.6390 0.0000 Fe
0.2927 0.4716 0.0000 Fe
0.3610 0.8860 0.0000 Fe
0.4716 0.2927 0.0000 Fe
0.5284 0.7073 0.0000 Fe
0.6390 0.1140 0.0000 Fe
0.7073 0.5284 0.0000 Fe
0.8860 0.3610 0.0000 Fe
0.0588 0.2190 0.0000 Ni
0.2190 0.0588 0.0000 Ni
0.7810 0.9412 0.0000 Ni
0.9412 0.7810 0.0000 Ni
0.0913 0.4276 0.5000 Rh
0.1459 0.8541 0.5000 Rh
0.2640 0.2640 0.5000 Rh
0.3225 0.6775 0.5000 Rh
0.4276 0.0913 0.5000 Rh
0.5000 0.5000 0.5000 Rh
0.5724 0.9087 0.5000 Rh
0.6775 0.3225 0.5000 Rh
0.7360 0.7360 0.5000 Rh
0.8541 0.1459 0.5000 Rh
0.9087 0.5724 0.5000 Rh
```


SrH2Se2: relaxed, GGA-PBE.

N(E_F)   0.0 states/eV per cell
DFT total energy   -18.93 eV per formula unit
Size of the total moment   0.000 μB/atom
Symmetry   C2/c

Geometry as POSCAR:
```
SrH2Se2
1.0
5.0779 -2.4030 0.0000
5.0779 2.4030 0.0000
-3.1954 0.0000 8.9518
Sr H Se
2 4 4
Direct
0.1940 0.8060 0.7500 Sr
0.8060 0.1940 0.2500 Sr
0.3448 0.4346 0.9712 H
0.4346 0.3448 0.4712 H
0.5654 0.6552 0.5288 H
0.6552 0.5654 0.0288 H
0.1442 0.5381 0.3665 Se
0.4619 0.8558 0.1335 Se
0.5381 0.1442 0.8665 Se
0.8558 0.4619 0.6335 Se
```


BaYTa2: relaxed, GGA-PBE.

Energy above the lowest structure with this stoichiometry   418.2 kJ/mol of formula units
N(E_F)   25.7 states/eV per cell
Size of the total moment   0.171 μB/atom
ΔE_f   1.52 eV/atom
Symmetry   I-42d

Geometry as POSCAR:
```
BaYTa2
1.0
8.5259 0.0000 0.0000
0.0000 8.5259 0.0000
0.0000 0.0000 5.9378
Ba Y Ta
4 4 8
Direct
0.0000 0.0000 0.0000 Ba
0.0000 0.5000 0.2500 Ba
0.5000 0.0000 0.7500 Ba
0.5000 0.5000 0.5000 Ba
0.0000 0.0000 0.5000 Y
0.0000 0.5000 0.7500 Y
0.5000 0.0000 0.2500 Y
0.5000 0.5000 0.0000 Y
0.2428 0.2500 0.6250 Ta
0.2500 0.7428 0.8750 Ta
0.2500 0.7572 0.3750 Ta
0.2572 0.2500 0.1250 Ta
0.7428 0.7500 0.1250 Ta
0.7500 0.2428 0.3750 Ta
0.7500 0.2572 0.8750 Ta
0.7572 0.7500 0.6250 Ta
```


Cs2MnHgCl6: relaxed, GGA-PBE.

Formation energy from raw total energies   -1326.8 meV per atom
N(E_F)   0.0 states/eV per cell
Size of the total moment   0.500 μB/atom
Symmetry   I4/mmm

Geometry as POSCAR:
```
Cs2MnHgCl6
1.0
-3.7818 3.7818 5.2163
3.7818 -3.7818 5.2163
3.7818 3.7818 -5.2163
Cs Mn Hg Cl
2 1 1 6
Direct
0.2500 0.7500 0.5000 Cs
0.7500 0.2500 0.5000 Cs
0.0000 0.0000 0.0000 Mn
0.5000 0.5000 0.0000 Hg
0.2308 0.2308 0.4616 Cl
0.2308 0.7692 0.0000 Cl
0.2579 0.2579 0.0000 Cl
0.7421 0.7421 0.0000 Cl
0.7692 0.2308 0.0000 Cl
0.7692 0.7692 0.5384 Cl
```


CsTl2In3: relaxed, GGA-PBE.

N(E_F)   4.2 states/eV per cell
Size of the total moment   0.000 μB/atom
ΔE_f   -0.08 eV/atom
Symmetry   C2/m

Geometry as POSCAR:
```
CsTl2In3
1.0
9.0810 -2.7300 0.0000
9.0810 2.7300 0.0000
-3.7951 0.0000 8.7165
Cs Tl In
2 4 6
Direct
0.1517 0.1517 0.0835 Cs
0.8483 0.8483 0.9165 Cs
0.1818 0.1818 0.6995 Tl
0.4765 0.4765 0.8143 Tl
0.5235 0.5235 0.1857 Tl
0.8182 0.8182 0.3005 Tl
0.0269 0.0269 0.3629 In
0.3073 0.3073 0.5461 In
0.4145 0.4145 0.3681 In
0.5855 0.5855 0.6319 In
0.6927 0.6927 0.4539 In
0.9731 0.9731 0.6371 In
```


Pm3SmErSc: relaxed, GGA-PBE.

N(E_F)   19.0 states/eV per cell
Size of the total moment   0.000 μB/atom
ΔE_f   0.04 eV/atom
Symmetry   P2_1/m

Geometry as POSCAR:
```
Pm3SmErSc
1.0
7.9213 0.0000 0.0000
0.0000 5.0623 0.0000
-3.2309 0.0000 9.5576
Pm Sm Er Sc
6 2 2 2
Direct
0.1710 0.2500 0.0450 Pm
0.1725 0.7500 0.7903 Pm
0.1768 0.2500 0.5416 Pm
0.8232 0.7500 0.4584 Pm
0.8275 0.2500 0.2097 Pm
0.8290 0.7500 0.9550 Pm
0.1757 0.7500 0.2966 Sm
0.8243 0.2500 0.7034 Sm
0.4989 0.7500 0.1276 Er
0.5011 0.2500 0.8724 Er
0.4990 0.2500 0.3780 Sc
0.5010 0.7500 0.6220 Sc
```


Mn2Be2N: relaxed, GGA-PBE.

Energy above the lowest structure with this stoichiometry   0.0 kJ/mol of formula units
Formation energy from raw total energies   320.1 meV per atom
N(E_F)   6.2 states/eV per cell
Size of the total moment   1.129 μB/atom
Symmetry   P4/mbm

Geometry as POSCAR:
```
Mn2Be2N
1.0
4.7914 0.0000 0.0000
0.0000 4.7914 0.0000
0.0000 0.0000 4.2222
Mn Be N
4 4 2
Direct
0.1711 0.3289 0.0000 Mn
0.3289 0.8289 0.0000 Mn
0.6711 0.1711 0.0000 Mn
0.8289 0.6711 0.0000 Mn
0.1620 0.6620 0.5000 Be
0.3380 0.1620 0.5000 Be
0.6620 0.8380 0.5000 Be
0.8380 0.3380 0.5000 Be
0.0000 0.0000 0.5000 N
0.5000 0.5000 0.5000 N
```


Fe2AuCl2: relaxed, GGA-PBE.

Energy above the lowest structure with this stoichiometry   99.7 kJ/mol of formula units
Formation energy from raw total energies   634.7 meV per atom
N(E_F)   17.5 states/eV per cell
Size of the total moment   0.000 μB/atom
Symmetry   I4/mmm

Geometry as POSCAR:
```
Fe2AuCl2
1.0
3.9280 0.0000 0.0000
0.0000 3.9280 0.0000
0.0000 0.0000 10.4321
Fe Au Cl
4 2 4
Direct
0.0000 0.5000 0.2500 Fe
0.0000 0.5000 0.7500 Fe
0.5000 0.0000 0.2500 Fe
0.5000 0.0000 0.7500 Fe
0.0000 0.0000 0.0000 Au
0.5000 0.5000 0.5000 Au
0.0000 0.0000 0.3526 Cl
0.0000 0.0000 0.6474 Cl
0.5000 0.5000 0.1474 Cl
0.5000 0.5000 0.8526 Cl
```


La2SiP: relaxed, GGA-PBE.

Energy above the lowest structure with this stoichiometry   154.6 kJ/mol of formula units
Formation energy from raw total energies   -757.9 meV per atom
N(E_F)   5.8 states/eV per cell
Size of the total moment   0.000 μB/atom
Symmetry   Immm

Geometry as POSCAR:
```
La2SiP
1.0
4.7158 0.0000 0.0000
0.0000 5.4385 0.0000
0.0000 0.0000 7.8484
La Si P
4 2 2
Direct
0.0000 0.0000 0.2421 La
0.0000 0.0000 0.7579 La
0.5000 0.5000 0.2579 La
0.5000 0.5000 0.7421 La
0.0000 0.5000 0.0000 Si
0.5000 0.0000 0.5000 Si
0.0000 0.5000 0.5000 P
0.5000 0.0000 0.0000 P
```